Record 1
Here is an optimized crystal structure of ErNiP2Ru from Alexandria via LeMat-Bulk. Energies are from GGA-PBE.

```
data_ErNiP2Ru
_cell_length_a 3.889
_cell_length_b 3.889
_cell_length_c 9.738
_cell_angle_alpha 90.00
_cell_angle_beta 90.00
_cell_angle_gamma 90.00
_symmetry_space_group_name_H-M 'I -4 m 2'
_symmetry_Int_Tables_number 119
_symmetry_space_group_name_Hall 'I -4 -2'
loop_
_atom_site_label
_atom_site_type_symbol
_atom_site_fract_x
_atom_site_fract_y
_atom_site_fract_z
_atom_site_occupancy
Er1 Er 0.000 0.000 0.000 1
Ni1 Ni 0.000 0.500 0.250 1
P1 P 0.000 0.000 0.383 1
Ru1 Ru 0.000 0.500 0.750 1
```

Summary:
- calculated volume (Å³/cell) = 147
- total DFT energy (no corrections) (eV for the cell shown) = -70.235
- formation energy from the elements (eV/f.u.) = -4.68

Record 2
Here is an optimized crystal structure of SrTl2Os from Alexandria via LeMat-Bulk. Energies are from GGA-PBE.

```
data_SrTl2Os
_cell_length_a 3.6991
_cell_length_b 3.6991
_cell_length_c 26.8297
_cell_angle_alpha 90.00
_cell_angle_beta 90.00
_cell_angle_gamma 120.00
_symmetry_space_group_name_H-M 'R -3 m'
_symmetry_Int_Tables_number 166
_symmetry_space_group_name_Hall '-R 3 2"'
loop_
_atom_site_label
_atom_site_type_symbol
_atom_site_fract_x
_atom_site_fract_y
_atom_site_fract_z
_atom_site_occupancy
Sr1 Sr 0.0000 0.0000 0.0000 1
Tl1 Tl 0.0000 0.0000 0.2357 1
Os1 Os 0.0000 0.0000 0.5000 1
```

Summary:
- calculated volume (Å³/cell) = 318
- total DFT energy (no corrections) (eV for the cell shown) = -45.130
- formation energy from the elements (eV/f.u.) = 2.60

Record 3
Here is an optimized crystal structure of ScRh2W from Alexandria via LeMat-Bulk. Energies are from GGA-PBE.

```
data_ScRh2W
_cell_length_a 2.886
_cell_length_b 4.562
_cell_length_c 4.890
_cell_angle_alpha 90.00
_cell_angle_beta 97.20
_cell_angle_gamma 90.00
_symmetry_space_group_name_H-M 'P 1 m 1'
_symmetry_Int_Tables_number 6
_symmetry_space_group_name_Hall 'P -2y'
loop_
_atom_site_label
_atom_site_type_symbol
_atom_site_fract_x
_atom_site_fract_y
_atom_site_fract_z
_atom_site_occupancy
Sc1 Sc 0.000 0.000 0.000 1
Rh1 Rh 0.391 0.000 0.520 1
Rh2 Rh 0.466 0.500 0.898 1
W1 W 0.831 0.500 0.404 1
```

Summary:
- calculated volume (Å³/cell) = 64
- total DFT energy (no corrections) (eV for the cell shown) = -35.651
- distance to the lowest polymorph of the same formula (eV per formula unit) = 0.095
- formation energy from the elements (eV/f.u.) = -1.66

Record 4
Here is an optimized crystal structure of YTm2RuN4 from Alexandria via LeMat-Bulk. Energies are from GGA-PBE.

```
data_YTm2RuN4
_cell_length_a 3.356
_cell_length_b 11.443
_cell_length_c 11.474
_cell_angle_alpha 90.00
_cell_angle_beta 90.00
_cell_angle_gamma 90.00
_symmetry_space_group_name_H-M 'C m c m'
_symmetry_Int_Tables_number 63
_symmetry_space_group_name_Hall '-C 2c 2'
loop_
_atom_site_label
_atom_site_type_symbol
_atom_site_fract_x
_atom_site_fract_y
_atom_site_fract_z
_atom_site_occupancy
Y1 Y 0.000 0.130 0.250 1
Tm1 Tm 0.000 0.369 0.042 1
Ru1 Ru 0.000 0.134 0.750 1
N1 N 0.000 0.000 0.000 1
N2 N 0.000 0.266 0.628 1
N3 N 0.000 0.454 0.250 1
```

Summary:
- calculated volume (Å³/cell) = 441
- total DFT energy (no corrections) (eV for the cell shown) = -266.473
- raw formation energy (eV per formula unit) = -8.634

Record 5
Here is an optimized crystal structure of CsLi2F from Alexandria via LeMat-Bulk. Energies are from GGA-PBE.

```
data_CsLi2F
_cell_length_a 6.998
_cell_length_b 6.998
_cell_length_c 9.925
_cell_angle_alpha 90.00
_cell_angle_beta 90.00
_cell_angle_gamma 90.00
_symmetry_space_group_name_H-M 'I 41/a m d'
_symmetry_Int_Tables_number 141
loop_
_symmetry_equiv_pos_as_xyz
'x,y,z'
'-x,-y,-z'
'-y+1/4,x+3/4,z+1/4'
'y+1/4,-x+3/4,-z+1/4'
'-x+1/2,-y,z+1/2'
'x+1/2,y,-z+1/2'
'y+1/4,-x+1/4,z+3/4'
'-y+1/4,x+1/4,-z+3/4'
'x,-y,-z'
'-x,y,z'
'-y+1/4,-x+1/4,-z+3/4'
'y+1/4,x+1/4,z+3/4'
'-x+1/2,y,-z+1/2'
'x+1/2,-y,z+1/2'
'y+1/4,x+3/4,-z+1/4'
'-y+1/4,-x+3/4,z+1/4'
'x+1/2,y+1/2,z+1/2'
'-x+1/2,-y+1/2,-z+1/2'
'-y+3/4,x+1/4,z+3/4'
'y+3/4,-x+1/4,-z+3/4'
'-x,-y+1/2,z'
'x,y+1/2,-z'
'y+3/4,-x+3/4,z+1/4'
'-y+3/4,x+3/4,-z+1/4'
'x+1/2,-y+1/2,-z+1/2'
'-x+1/2,y+1/2,z+1/2'
'-y+3/4,-x+3/4,-z+1/4'
'y+3/4,x+3/4,z+1/4'
'-x,y+1/2,-z'
'x,-y+1/2,z'
'y+3/4,x+1/4,-z+3/4'
'-y+3/4,-x+1/4,z+3/4'
loop_
_atom_site_label
_atom_site_type_symbol
_atom_site_fract_x
_atom_site_fract_y
_atom_site_fract_z
_atom_site_occupancy
Cs1 Cs 0.000 0.250 0.375 1
Li1 Li 0.000 0.000 0.000 1
F1 F 0.000 0.250 0.875 1
```

Summary:
- calculated volume (Å³/cell) = 486
- total DFT energy (no corrections) (eV for the cell shown) = -43.288
- distance to the lowest polymorph of the same formula (eV per formula unit) = 0.000
- raw formation energy (eV per formula unit) = -4.269

Record 6
Here is an optimized crystal structure of Ca2SnRu from Alexandria via LeMat-Bulk. Energies are from GGA-PBE.

```
data_Ca2SnRu
_cell_length_a 10.107
_cell_length_b 10.107
_cell_length_c 5.163
_cell_angle_alpha 90.00
_cell_angle_beta 90.00
_cell_angle_gamma 90.00
_symmetry_space_group_name_H-M 'I -4 2 d'
_symmetry_Int_Tables_number 122
_symmetry_space_group_name_Hall 'I -4 2bw'
loop_
_atom_site_label
_atom_site_type_symbol
_atom_site_fract_x
_atom_site_fract_y
_atom_site_fract_z
_atom_site_occupancy
Ca1 Ca 0.095 0.250 0.125 1
Sn1 Sn 0.000 0.000 0.500 1
Ru1 Ru 0.000 0.000 0.000 1
```

Summary:
- calculated volume (Å³/cell) = 527
- total DFT energy (no corrections) (eV for the cell shown) = -69.094
- formation energy from the elements (eV/f.u.) = 0.01

Record 7
Here is an optimized crystal structure of TmHfAu6 from Alexandria via LeMat-Bulk. Energies are from GGA-PBE.

```
data_TmHfAu6
_cell_length_a 9.122
_cell_length_b 4.382
_cell_length_c 8.687
_cell_angle_alpha 90.00
_cell_angle_beta 118.27
_cell_angle_gamma 90.00
_symmetry_space_group_name_H-M 'C 1 2/m 1'
_symmetry_Int_Tables_number 12
_symmetry_space_group_name_Hall '-C 2y'
loop_
_atom_site_label
_atom_site_type_symbol
_atom_site_fract_x
_atom_site_fract_y
_atom_site_fract_z
_atom_site_occupancy
Tm1 Tm 0.000 0.000 0.000 1
Hf1 Hf 0.000 0.000 0.500 1
Au1 Au 0.006 0.500 0.748 1
Au2 Au 0.249 0.000 0.866 1
Au3 Au 0.249 0.500 0.618 1
```

Summary:
- calculated volume (Å³/cell) = 306
- total DFT energy (no corrections) (eV for the cell shown) = -76.990
- formation energy from the elements (eV/f.u.) = -4.41

Record 8
Here is an optimized crystal structure of Ac4GePbSe2 from Alexandria via LeMat-Bulk. Energies are from GGA-PBE.

```
data_Ac4GePbSe2
_cell_length_a 7.953
_cell_length_b 4.639
_cell_length_c 8.113
_cell_angle_alpha 90.00
_cell_angle_beta 109.67
_cell_angle_gamma 90.00
_symmetry_space_group_name_H-M 'P 1 2/m 1'
_symmetry_Int_Tables_number 10
_symmetry_space_group_name_Hall '-P 2y'
loop_
_atom_site_label
_atom_site_type_symbol
_atom_site_fract_x
_atom_site_fract_y
_atom_site_fract_z
_atom_site_occupancy
Ac1 Ac 0.243 0.000 0.239 1
Ac2 Ac 0.251 0.500 0.760 1
Ge1 Ge 0.000 0.500 0.000 1
Pb1 Pb 0.000 0.000 0.500 1
Se1 Se 0.500 0.000 0.000 1
Se2 Se 0.500 0.500 0.500 1
```

Summary:
- calculated volume (Å³/cell) = 282
- total DFT energy (no corrections) (eV for the cell shown) = -41.817
- raw formation energy (eV per formula unit) = -10.088

Record 9
Here is an optimized crystal structure of Mg2CuPd4 from Alexandria via LeMat-Bulk. Energies are from GGA-PBE.

```
data_Mg2CuPd4
_cell_length_a 4.567
_cell_length_b 4.567
_cell_length_c 13.238
_cell_angle_alpha 90.00
_cell_angle_beta 90.00
_cell_angle_gamma 90.00
_symmetry_space_group_name_H-M 'I 4/m m m'
_symmetry_Int_Tables_number 139
_symmetry_space_group_name_Hall '-I 4 2'
loop_
_atom_site_label
_atom_site_type_symbol
_atom_site_fract_x
_atom_site_fract_y
_atom_site_fract_z
_atom_site_occupancy
Mg1 Mg 0.000 0.000 0.122 1
Cu1 Cu 0.000 0.000 0.500 1
Pd1 Pd 0.000 0.000 0.315 1
Pd2 Pd 0.000 0.500 0.000 1
```

Summary:
- calculated volume (Å³/cell) = 276
- total DFT energy (no corrections) (eV for the cell shown) = -54.183
- distance to the lowest polymorph of the same formula (eV per formula unit) = 3.473
- formation energy from the elements (eV/f.u.) = 0.97

Record 10
Here is an optimized crystal structure of HfTaNb2 from Alexandria via LeMat-Bulk. Energies are from GGA-PBE.

```
data_HfTaNb2
_cell_length_a 3.1785
_cell_length_b 3.1785
_cell_length_c 26.9014
_cell_angle_alpha 90.00
_cell_angle_beta 90.00
_cell_angle_gamma 120.00
_symmetry_space_group_name_H-M 'R -3 m'
_symmetry_Int_Tables_number 166
_symmetry_space_group_name_Hall '-R 3 2"'
loop_
_atom_site_label
_atom_site_type_symbol
_atom_site_fract_x
_atom_site_fract_y
_atom_site_fract_z
_atom_site_occupancy
Hf1 Hf 0.0000 0.0000 0.0000 1
Ta1 Ta 0.0000 0.0000 0.5000 1
Nb1 Nb 0.0000 0.0000 0.2445 1
```

Summary:
- calculated volume (Å³/cell) = 235
- total DFT energy (no corrections) (eV for the cell shown) = -122.755
- distance to the lowest polymorph of the same formula (eV per formula unit) = 0.889
- formation energy from the elements (eV/f.u.) = 1.03

Record 11
Here is an optimized crystal structure of KGeAs2O8 from Alexandria via LeMat-Bulk. Energies are from GGA-PBE.

```
data_KGeAs2O8
_cell_length_a 4.9717
_cell_length_b 4.9717
_cell_length_c 26.9473
_cell_angle_alpha 90.00
_cell_angle_beta 90.00
_cell_angle_gamma 120.00
_symmetry_space_group_name_H-M 'R 3 2'
_symmetry_Int_Tables_number 155
_symmetry_space_group_name_Hall 'R 3 2"'
loop_
_atom_site_label
_atom_site_type_symbol
_atom_site_fract_x
_atom_site_fract_y
_atom_site_fract_z
_atom_site_occupancy
K1 K 0.0000 0.0000 0.0000 1
Ge1 Ge 0.0000 0.0000 0.5000 1
As1 As 0.0000 0.0000 0.2336 1
O1 O 0.0000 0.0000 0.2959 1
O2 O 0.0193 0.3866 0.1212 1
```

Summary:
- calculated volume (Å³/cell) = 577
- total DFT energy (no corrections) (eV for the cell shown) = -206.726
- raw formation energy (eV per formula unit) = -14.229

Record 12
Here is an optimized crystal structure of Ac2ZnGa4Cu3 from Alexandria via LeMat-Bulk. Energies are from GGA-PBE.

```
data_Ac2ZnGa4Cu3
_cell_length_a 4.435
_cell_length_b 4.435
_cell_length_c 10.251
_cell_angle_alpha 90.00
_cell_angle_beta 90.00
_cell_angle_gamma 90.00
_symmetry_space_group_name_H-M 'P -4 m 2'
_symmetry_Int_Tables_number 115
_symmetry_space_group_name_Hall 'P -4 -2'
loop_
_atom_site_label
_atom_site_type_symbol
_atom_site_fract_x
_atom_site_fract_y
_atom_site_fract_z
_atom_site_occupancy
Ac1 Ac 0.000 0.500 0.248 1
Zn1 Zn 0.500 0.500 0.000 1
Ga1 Ga 0.000 0.000 0.500 1
Ga2 Ga 0.000 0.500 0.870 1
Ga3 Ga 0.500 0.500 0.500 1
Cu1 Cu 0.000 0.000 0.000 1
Cu2 Cu 0.000 0.500 0.625 1
```

Summary:
- calculated volume (Å³/cell) = 202
- total DFT energy (no corrections) (eV for the cell shown) = -38.020
- formation energy from the elements (eV/f.u.) = -4.13

Which value of total DFT energy (no corrections) does entry 4 give?
-266.473 eV for the cell shown

Repeat the seventh record exactly.
Here is an optimized crystal structure of TmHfAu6 from Alexandria via LeMat-Bulk. Energies are from GGA-PBE.

```
data_TmHfAu6
_cell_length_a 9.122
_cell_length_b 4.382
_cell_length_c 8.687
_cell_angle_alpha 90.00
_cell_angle_beta 118.27
_cell_angle_gamma 90.00
_symmetry_space_group_name_H-M 'C 1 2/m 1'
_symmetry_Int_Tables_number 12
_symmetry_space_group_name_Hall '-C 2y'
loop_
_atom_site_label
_atom_site_type_symbol
_atom_site_fract_x
_atom_site_fract_y
_atom_site_fract_z
_atom_site_occupancy
Tm1 Tm 0.000 0.000 0.000 1
Hf1 Hf 0.000 0.000 0.500 1
Au1 Au 0.006 0.500 0.748 1
Au2 Au 0.249 0.000 0.866 1
Au3 Au 0.249 0.500 0.618 1
```

Summary:
- calculated volume (Å³/cell) = 306
- total DFT energy (no corrections) (eV for the cell shown) = -76.990
- formation energy from the elements (eV/f.u.) = -4.41

The highest calculated volume belongs to which entry?
KGeAs2O8